Record 1
Material: NbSiMo
Method: DFT, GGA-PBE
State: optimized geometry

Calculated values
electronic total energy = -9.252 eV per atom

a b c (Å): 11.960 3.395 6.930
angles (deg): 90.00 90.00 90.00
Atoms (fractional coordinates):
Nb: 0.048 0.000 0.239
Nb: 0.250 0.000 0.838
Nb: 0.452 0.000 0.239
Nb: 0.548 0.000 0.761
Nb: 0.750 0.000 0.162
Nb: 0.952 0.000 0.761
Si: 0.094 0.500 0.939
Si: 0.250 0.000 0.446
Si: 0.406 0.500 0.939
Si: 0.594 0.500 0.061
Si: 0.750 0.000 0.554
Si: 0.906 0.500 0.061
Mo: 0.116 0.500 0.569
Mo: 0.250 0.500 0.188
Mo: 0.384 0.500 0.569
Mo: 0.616 0.500 0.431
Mo: 0.750 0.500 0.812
Mo: 0.884 0.500 0.431

---

Record 2
Material: Ga5SnRh6
Method: DFT, GGA-PBE
State: optimized geometry

Calculated values
energy of formation from the pure elements = -0.605 eV per atom

a b c (Å): 6.712 6.712 6.510
angles (deg): 90.00 90.00 143.22
Atoms (fractional coordinates):
Ga: 0.000 0.000 0.000
Ga: 0.329 0.671 0.500
Ga: 0.334 0.666 0.000
Ga: 0.666 0.334 0.000
Ga: 0.671 0.329 0.500
Sn: 0.000 0.000 0.500
Rh: 0.169 0.831 0.243
Rh: 0.169 0.831 0.757
Rh: 0.500 0.500 0.239
Rh: 0.500 0.500 0.761
Rh: 0.831 0.169 0.243
Rh: 0.831 0.169 0.757

---

Record 3
Material: Cs2CaLaCl6
Method: DFT, GGA-PBE
State: optimized geometry

Calculated values
electronic total energy = -4.077 eV per atom

a b c (Å): 7.868 7.868 7.868
angles (deg): 60.00 60.00 60.00
Atoms (fractional coordinates):
Cs: 0.250 0.250 0.250
Cs: 0.750 0.750 0.750
Ca: 0.000 0.000 0.000
La: 0.500 0.500 0.500
Cl: 0.245 0.245 0.755
Cl: 0.245 0.755 0.245
Cl: 0.245 0.755 0.755
Cl: 0.755 0.245 0.245
Cl: 0.755 0.245 0.755
Cl: 0.755 0.755 0.245

---

Record 4
Material: SmHgBr3
Method: DFT, GGA-PBE
State: optimized geometry

Calculated values
electronic total energy = -3.487 eV per atom

a b c (Å): 11.090 11.090 11.090
angles (deg): 39.22 39.22 39.22
Atoms (fractional coordinates):
Sm: 0.167 0.167 0.167
Sm: 0.833 0.833 0.833
Hg: 0.339 0.339 0.339
Hg: 0.661 0.661 0.661
Br: 0.076 0.446 0.817
Br: 0.183 0.924 0.554
Br: 0.446 0.817 0.076
Br: 0.554 0.183 0.924
Br: 0.817 0.076 0.446
Br: 0.924 0.554 0.183

---

Record 5
Material: PrSm7Dy4
Method: DFT, GGA-PBE
State: optimized geometry

Calculated values
energy of formation from the pure elements = 0.250 eV per atom

a b c (Å): 6.765 6.765 12.738
angles (deg): 114.93 114.93 52.72
Atoms (fractional coordinates):
Pr: 0.000 0.000 0.000
Sm: 0.060 0.060 0.329
Sm: 0.210 0.210 0.920
Sm: 0.370 0.370 0.498
Sm: 0.500 0.500 0.000
Sm: 0.630 0.630 0.502
Sm: 0.790 0.790 0.080
Sm: 0.940 0.940 0.671
Dy: 0.248 0.248 0.682
Dy: 0.364 0.364 0.224
Dy: 0.636 0.636 0.776
Dy: 0.752 0.752 0.318

---

Record 6
Material: Zr3CdH
Method: DFT, GGA-PBE
State: optimized geometry

Calculated values
electronic total energy = -6.173 eV per atom

a b c (Å): 3.166 6.501 9.141
angles (deg): 90.00 90.00 90.00
Atoms (fractional coordinates):
Zr: 0.000 0.000 0.000
Zr: 0.000 0.500 0.000
Zr: 0.500 0.241 0.261
Zr: 0.500 0.241 0.739
Zr: 0.500 0.759 0.261
Zr: 0.500 0.759 0.739
Cd: 0.000 0.000 0.500
Cd: 0.000 0.500 0.500
H: 0.500 0.500 0.138
H: 0.500 0.500 0.862

---

D(E_F) values, unit states/eV per cell, following the record order: 11.36, 4.26, 8.61, 0.00, 17.77, 7.75.
Total magnetization values, unit μB per formula unit, following the record order: 0.000, 0.000, 0.990, 0.000, 0.000, 0.000.